Material: Dy7Cu2Hg2
Method: DFT, PBE
State: relaxed

Cell: 7.8369 11.1047 7.0777 Å, 90.00 90.00 90.00°
With the nearest neighbours (Å) after each atom.
Space group Cmmm (No. 65)
Symmetry-distinct sites (fractional):
Dy 0.0000 0.0000 0.0000  2 Cu 3.33
Dy 0.0000 0.5000 0.2449  2 Cu 2.82, 2 Hg 3.08
Dy 0.2500 0.2500 0.2572  2 Cu 2.73
Cu 0.0000 0.2995 0.0000  6 Dy 2.73-2.82
Hg 0.1811 0.0000 0.5000  1 Hg 2.84, 2 Dy 3.08

Output
The formation energy is -0.069 eV per atom.

***

Material: Rb2TcHgF6
Method: DFT, PBE
State: relaxed

Cell: 9.7025 9.7025 9.7025 Å, 90.00 90.00 90.00°
With the nearest neighbours (Å) after each atom.
Space group Fm-3m (No. 225)
Symmetry-distinct sites (fractional):
Rb 0.2500 0.2500 0.2500  12 F 3.46
Tc 0.0000 0.0000 0.0000  6 F 1.97
Hg 0.0000 0.0000 0.5000  6 F 2.88
F 0.0000 0.0000 0.2030  1 Tc 1.97

Output
The value obtained for the raw formation energy is -2.2056 eV/atom.

***

Material: MnWBr2
Method: DFT, PBE
State: relaxed

Cell: 3.3665 3.3665 27.4728 Å, 90.00 90.00 120.00°
With the nearest neighbours (Å) after each atom.
Space group R3m (No. 160, hexagonal axes)
Symmetry-distinct sites (fractional):
Mn 0.0000 0.0000 0.0000  3 W 2.44, 3 Br 2.63
W 0.0000 0.0000 0.7202  3 Mn 2.44
Br 0.0000 0.0000 0.2690  3 Mn 2.63
Br 0.0000 0.0000 0.4604  3 W 2.80

Output
The value obtained for the raw formation energy is 0.1562 eV/atom. For the energy above the most stable polymorph in this dataset, the calculation gives 0.0000 eV/atom.

***

Material: UH4Br5
Method: DFT, PBE
State: relaxed

Cell: 8.4163 8.4163 5.7160 Å, 90.00 90.00 90.00°
With the nearest neighbours (Å) after each atom.
Space group I4 (No. 79)
Symmetry-distinct sites (fractional):
U 0.0000 0.0000 0.0000  4 H 2.38
H 0.0407 0.7313 0.8848  1 Br 1.81
Br 0.0000 0.0000 0.5150  2 U 2.77-2.94
Br 0.1075 0.3213 0.0996  1 H 1.81

Output
The final energy comes out at -68.072 eV/cell.

***

Material: Er5Sb3Au12
Method: DFT, PBE
State: relaxed

Cell: 16.4661 16.4661 16.4661 Å, 90.00 90.00 90.00°
With the nearest neighbours (Å) after each atom.
Space group Ia-3d (No. 230)
Symmetry-distinct sites (fractional):
Er 0.0000 0.0000 0.0000  6 Au 2.85
Er 0.0000 0.2500 0.3750  4 Au 2.80
Sb 0.0000 0.2500 0.1250  8 Au 2.84-3.05
Au 0.0108 0.0805 0.6530  2 Er 2.80-2.85, 2 Sb 2.84-3.05, 1 Au 2.91

Output
The value obtained for the raw formation energy is -0.1748 eV/atom.

***

Material: ScCoTe
Method: DFT, PBE
State: relaxed

Cell: 4.1748 4.1748 3.7359 Å, 90.00 90.00 120.00°
With the nearest neighbours (Å) after each atom.
Space group P3m1 (No. 156)
Symmetry-distinct sites (fractional):
Sc 0.0000 0.0000 0.0000  6 Co 2.89-3.23, 6 Te 3.04-3.06
Co 0.6667 0.3333 0.5750  3 Te 2.43
Te 0.3333 0.6667 0.5025  3 Co 2.43

Output
The value obtained for the raw formation energy is -0.5565 eV/atom.

***

Material: VFePt
Method: DFT, PBE
State: relaxed

Cell: 16.7609 2.7741 7.7433 Å, 90.00 102.93 90.00°
With the nearest neighbours (Å) after each atom.
Space group C2/m (No. 12)
Symmetry-distinct sites (fractional):
V 0.1207 0.0000 0.1017  2 Fe 2.24, 1 Pt 2.41
V 0.1382 0.0000 0.5160  3 Fe 2.34-2.38, 1 Pt 2.45
Fe 0.2268 0.5000 0.1127  2 V 2.24, 4 Fe 2.39-2.49
Fe 0.2494 0.0000 0.3711  3 V 2.34-2.38, 4 Fe 2.39-2.43
Pt 0.0167 0.0000 0.2723  2 V 2.41-2.45
Pt 0.1286 0.5000 0.8033  4 Fe 2.59-2.74, 4 V 2.66-2.72, 4 Pt 2.75-2.77

Output
For the energy above the most stable polymorph in this dataset, the calculation gives 0.3322 eV/atom. The formation energy is 0.000 eV per atom.

***

Material: HPbBr
Method: DFT, PBE
State: relaxed

Cell: 6.2427 6.9144 7.8024 Å, 90.00 98.66 90.00°
With the nearest neighbours (Å) after each atom.
Space group P2_1/c (No. 14)
Symmetry-distinct sites (fractional):
H 0.0682 0.1163 0.3951  2 Pb 2.10-2.15
Pb 0.2142 0.0659 0.6521  2 H 2.10-2.15
Br 0.3755 0.7352 0.4932  1 Pb 2.86, 1 H 3.20

Output
The final energy comes out at -37.841 eV/cell.